ZrTlBr2N: relaxed, PBE-GGA.

abc: 6.220 6.220 3.887
angles: 90.00 90.00 90.00
Space group P4/mmm (No. 123)
One atom of each set of equivalent atoms:
Zr (0.000, 0.000, 0.000) [1 per cell]
Tl (0.500, 0.500, 0.000) [1 per cell]
Br (0.000, 0.500, 0.500) [2 per cell]
N (0.000, 0.000, 0.500) [1 per cell]

Properties
**ΔE_f (raw)**: -0.102 eV/atom
**Magnetization**: 0.017 μB per atom
**V**: 30.1 A^3/atom